Entry from Alexandria: a relaxed structure of Ac8Os3RuI4 (PBE-GGA).

a b c (Å): 8.7898 8.7898 9.9356
angles (deg): 116.34 116.34 59.95
Atoms (fractional coordinates):
Ac 0.2273 0.7279 0.6829
Ac 0.2278 0.2278 0.6833
Ac 0.2721 0.2721 0.3172
Ac 0.2721 0.7727 0.3171
Ac 0.7279 0.2273 0.6829
Ac 0.7279 0.7279 0.6828
Ac 0.7722 0.7722 0.3167
Ac 0.7727 0.2721 0.3171
Os 0.0000 0.0000 0.5000
Os 0.0000 0.5000 0.5000
Os 0.5000 0.0000 0.5000
Ru 0.5000 0.5000 0.5000
I 0.0000 0.0000 0.0000
I 0.0000 0.5000 0.0000
I 0.5000 0.0000 0.0000
I 0.5000 0.5000 0.0000

Computed properties:
Its volume is 35.7 A^3/atom. The calculation puts the energy relative to the elements, uncorrected at -588 meV per atom. The value obtained for the energy is -5.715 eV per atom. As for the density: 8.716 g cm⁻³. Its symmetry is No. 12.

=====

Entry from Alexandria: a relaxed structure of Ac6Os2RuI3 (PBE-GGA).

a b c (Å): 7.6028 7.6028 8.9143
angles (deg): 98.17 98.17 120.00
Atoms (fractional coordinates):
Ac 0.1050 0.4389 0.8169
Ac 0.2271 0.2271 0.1830
Ac 0.4389 0.1050 0.8169
Ac 0.5611 0.8950 0.1831
Ac 0.7729 0.7729 0.8170
Ac 0.8950 0.5611 0.1831
Os 0.1667 0.8333 0.0000
Os 0.8333 0.1667 0.0000
Ru 0.5000 0.5000 0.0000
I 0.0000 0.0000 0.5000
I 0.3336 0.6664 0.5000
I 0.6664 0.3336 0.5000

Computed properties:
Its volume is 35.7 A^3/atom. The calculation puts the energy relative to the elements, uncorrected at -599 meV per atom. The value obtained for the energy is -5.685 eV per atom. As for the density: 8.633 g cm⁻³. Its symmetry is No. 12.

=====

Entry from Alexandria: a relaxed structure of Ac8OsRu3I4 (PBE-GGA).

a b c (Å): 9.9666 9.9666 9.9666
angles (deg): 51.99 51.99 51.99
Atoms (fractional coordinates):
Ac 0.2278 0.2278 0.2278
Ac 0.2283 0.7276 0.7276
Ac 0.2724 0.2724 0.7717
Ac 0.2724 0.7717 0.2724
Ac 0.7276 0.2283 0.7276
Ac 0.7276 0.7276 0.2283
Ac 0.7717 0.2724 0.2724
Ac 0.7722 0.7722 0.7722
Os 0.5000 0.5000 0.5000
Ru 0.0000 0.0000 0.5000
Ru 0.0000 0.5000 0.0000
Ru 0.5000 0.0000 0.0000
I 0.0000 0.0000 0.0000
I 0.0000 0.5000 0.5000
I 0.5000 0.0000 0.5000
I 0.5000 0.5000 0.0000

Computed properties:
Its volume is 35.5 A^3/atom. The calculation puts the energy relative to the elements, uncorrected at -654 meV per atom. The value obtained for the energy is -5.537 eV per atom. As for the density: 8.232 g cm⁻³. Its symmetry is No. 166.

=====

Entry from Alexandria: a relaxed structure of Ac6Os2SI3 (PBE-GGA).

a b c (Å): 7.6757 7.6757 8.9212
angles (deg): 98.19 98.19 119.98
Atoms (fractional coordinates):
Ac 0.0878 0.4380 0.8135
Ac 0.2117 0.2117 0.1865
Ac 0.4380 0.0878 0.8135
Ac 0.5620 0.9122 0.1865
Ac 0.7883 0.7883 0.8135
Ac 0.9122 0.5620 0.1865
Os 0.1667 0.8333 0.0000
Os 0.8333 0.1667 0.0000
S 0.5000 0.5000 0.0000
I 0.0000 0.0000 0.5000
I 0.3337 0.6663 0.5000
I 0.6663 0.3337 0.5000

Computed properties:
Its volume is 36.4 A^3/atom. The calculation puts the energy relative to the elements, uncorrected at -940 meV per atom. The value obtained for the energy is -5.598 eV per atom. As for the density: 8.200 g cm⁻³. Its symmetry is No. 12.

=====

> Look up the energy relative to the elements, uncorrected of the second one.

-599 meV per atom

=====

Please write out number 2 again, unchanged.
Entry from Alexandria: a relaxed structure of Ac6Os2RuI3 (PBE-GGA).

a b c (Å): 7.6028 7.6028 8.9143
angles (deg): 98.17 98.17 120.00
Atoms (fractional coordinates):
Ac 0.1050 0.4389 0.8169
Ac 0.2271 0.2271 0.1830
Ac 0.4389 0.1050 0.8169
Ac 0.5611 0.8950 0.1831
Ac 0.7729 0.7729 0.8170
Ac 0.8950 0.5611 0.1831
Os 0.1667 0.8333 0.0000
Os 0.8333 0.1667 0.0000
Ru 0.5000 0.5000 0.0000
I 0.0000 0.0000 0.5000
I 0.3336 0.6664 0.5000
I 0.6664 0.3336 0.5000

Computed properties:
Its volume is 35.7 A^3/atom. The calculation puts the energy relative to the elements, uncorrected at -599 meV per atom. The value obtained for the energy is -5.685 eV per atom. As for the density: 8.633 g cm⁻³. Its symmetry is No. 12.

=====

> What is the energy relative to the elements, uncorrected in the first record?

-588 meV per atom

=====

> Which formula does entry 2 have?

Ac6Os2RuI3